SrMoNO2: optimized geometry, PBE+U.

a b c (Å): 4.1035 4.1035 3.9570
angles (deg): 90.00 90.00 90.00
Space group P4/mmm (No. 123)
One atom of each set of equivalent atoms:
Sr  0.0000  0.0000  0.0000 (multiplicity 1)
Mo  0.5000  0.5000  0.5000 (multiplicity 1)
N  0.5000  0.5000  0.0000 (multiplicity 1)
O  0.0000  0.5000  0.5000 (multiplicity 2)

Properties
* calculated volume: 13.326 Å³ per atom
* density of states at the Fermi level: 1.127 states/eV/cell
* uncorrected energy: -34.8 eV per cell